## TmCo2SbO6 (GGA+U)

Data for TmCo2SbO6 after structural relaxation.

Summary:
Calculated total energy in eV per atom: -6.708
Symmetry: P1

abc: 5.342 5.349 5.721
angles: 62.15 62.36 60.18
Positions (direct):
O1 0.705 0.124 0.771
O2 0.224 0.937 0.244
O3 0.399 0.707 0.764
O4 0.128 0.398 0.767
O5 0.938 0.591 0.245
O6 0.590 0.229 0.246
Co1 0.526 0.528 0.419
Co2 0.021 0.016 0.948
Sb1 0.319 0.321 0.041
Tm1 0.811 0.810 0.569